Density functional theory data (meta-GGA SCAN) for SrLaRh at its PBEsol-relaxed geometry.

Crystal system: trigonal
Total moment (μB per cell): 0.00
Density (Mg/m³): 5.454

Geometry as CIF:
```
data_SrLaRh
_chemical_formula_sum 'Sr1 La1 Rh1'
_space_group_name_H-M_alt 'P 3 m 1'
_space_group_IT_number 156
_cell_length_a 4.1285
_cell_length_b 4.1285
_cell_length_c 6.7948
_cell_angle_alpha 90.00
_cell_angle_beta 90.00
_cell_angle_gamma 120.00
loop_
_space_group_symop_operation_xyz
'x,y,z'
'-y,x-y,z'
'-x+y,-x,z'
'-y,-x,z'
'-x+y,y,z'
'x,x-y,z'
loop_
_atom_site_label
_atom_site_fract_x
_atom_site_fract_y
_atom_site_fract_z
Sr1 0.0000 0.0000 0.0000
La1 0.3333 0.6667 0.4717
Rh1 0.6667 0.3333 0.2761
```


Density functional theory data (meta-GGA SCAN) for CaSi4NiO10 at its PBEsol-relaxed geometry.

Uncorrected formation energy (eV per formula unit): -45.8
Crystal system: tetragonal
Total moment (μB per cell): 0.22
Density (Mg/m³): 3.104

Geometry as CIF:
```
data_CaSi4NiO10
_chemical_formula_sum 'Ca4 Si16 Ni4 O40'
_space_group_name_H-M_alt 'P 4/n c c'
_space_group_IT_number 130
_cell_length_a 7.211
_cell_length_b 7.211
_cell_length_c 15.272
_cell_angle_alpha 90.00
_cell_angle_beta 90.00
_cell_angle_gamma 90.00
loop_
_space_group_symop_operation_xyz
'x,y,z'
'-x,-y,-z'
'-y+1/2,x,z'
'y+1/2,-x,-z'
'-x+1/2,-y+1/2,z'
'x+1/2,y+1/2,-z'
'y,-x+1/2,z'
'-y,x+1/2,-z'
'x+1/2,-y,-z+1/2'
'-x+1/2,y,z+1/2'
'-y,-x,-z+1/2'
'y,x,z+1/2'
'-x,y+1/2,-z+1/2'
'x,-y+1/2,z+1/2'
'y+1/2,x+1/2,-z+1/2'
'-y+1/2,-x+1/2,z+1/2'
loop_
_atom_site_label
_atom_site_fract_x
_atom_site_fract_y
_atom_site_fract_z
Ca1 0.250 0.750 0.000
Si1 0.001 0.067 0.147
Ni1 0.250 0.250 0.417
O1 0.009 0.710 0.876
O2 0.013 0.154 0.419
O3 0.036 0.536 0.250
```


Density functional theory data (meta-GGA SCAN) for NaPO3 at its PBEsol-relaxed geometry.

Uncorrected formation energy (eV per formula unit): -12.3
Crystal system: tetragonal
Total moment (μB per cell): 0.00
Density (Mg/m³): 2.632

Geometry as CIF:
```
data_NaPO3
_chemical_formula_sum 'Na16 P16 O48'
_space_group_name_H-M_alt 'I 41/a'
_space_group_IT_number 88
_cell_length_a 13.180
_cell_length_b 13.180
_cell_length_c 5.926
_cell_angle_alpha 90.00
_cell_angle_beta 90.00
_cell_angle_gamma 90.00
loop_
_space_group_symop_operation_xyz
'x,y,z'
'-x,-y,-z'
'-y+3/4,x+1/4,z+1/4'
'y+3/4,-x+1/4,-z+1/4'
'-x+1/2,-y,z+1/2'
'x+1/2,y,-z+1/2'
'y+3/4,-x+3/4,z+3/4'
'-y+3/4,x+3/4,-z+3/4'
'x+1/2,y+1/2,z+1/2'
'-x+1/2,-y+1/2,-z+1/2'
'-y+1/4,x+3/4,z+3/4'
'y+1/4,-x+3/4,-z+3/4'
'-x,-y+1/2,z'
'x,y+1/2,-z'
'y+1/4,-x+1/4,z+1/4'
'-y+1/4,x+1/4,-z+1/4'
loop_
_atom_site_label
_atom_site_fract_x
_atom_site_fract_y
_atom_site_fract_z
Na1 0.089 0.355 0.425
P1 0.134 0.426 0.922
O1 0.077 0.336 0.838
O2 0.101 0.481 0.129
O3 0.142 0.498 0.701
```


Density functional theory data (meta-GGA SCAN) for CoIr2Pt at its PBEsol-relaxed geometry.

Crystal system: trigonal
Total moment (μB per cell): 6.21
Distance to the lowest polymorph of the same formula (eV/atom): 0.0430
Density (Mg/m³): 19.603

Geometry as CIF:
```
data_CoIr2Pt
_chemical_formula_sum 'Co3 Ir6 Pt3'
_space_group_name_H-M_alt 'R 3 m'
_space_group_IT_number 160
_space_group_name_Hall 'R 3 -2"'
_cell_length_a 2.6902
_cell_length_b 2.6902
_cell_length_c 25.8860
_cell_angle_alpha 90.00
_cell_angle_beta 90.00
_cell_angle_gamma 120.00
loop_
_atom_site_label
_atom_site_fract_x
_atom_site_fract_y
_atom_site_fract_z
Co1 0.0000 0.0000 0.0000
Ir1 0.0000 0.0000 0.2551
Ir2 0.0000 0.0000 0.5034
Pt1 0.0000 0.0000 0.7474
```


Density functional theory data (meta-GGA SCAN) for Li2MgMn3O8 at its PBEsol-relaxed geometry.

Uncorrected formation energy (eV per formula unit): -33.3
Crystal system: trigonal
Total moment (μB per cell): 26.94
Density (Mg/m³): 4.039

Geometry as CIF:
```
data_Li2MgMn3O8
_chemical_formula_sum 'Li6 Mg3 Mn9 O24'
_space_group_name_H-M_alt 'R -3 m'
_space_group_IT_number 166
_space_group_name_Hall '-R 3 2"'
_cell_length_a 5.7022
_cell_length_b 5.7022
_cell_length_c 14.4992
_cell_angle_alpha 90.00
_cell_angle_beta 90.00
_cell_angle_gamma 120.00
loop_
_atom_site_label
_atom_site_fract_x
_atom_site_fract_y
_atom_site_fract_z
Li1 0.0000 0.0000 0.1164
Mg1 0.0000 0.0000 0.5000
Mn1 0.0000 0.5000 0.0000
O1 0.0000 0.0000 0.2632
O2 0.0284 0.5142 0.2621
```


Density functional theory data (meta-GGA SCAN) for Fe2HgAs at its PBEsol-relaxed geometry.

Crystal system: cubic
Total moment (μB per cell): 21.59
Density (Mg/m³): 10.726

Geometry as CIF:
```
data_Fe2HgAs
_chemical_formula_sum 'Fe8 Hg4 As4'
_space_group_name_H-M_alt 'F -4 3 m'
_space_group_IT_number 216
_space_group_name_Hall 'F -4 2 3'
_cell_length_a 6.212
_cell_length_b 6.212
_cell_length_c 6.212
_cell_angle_alpha 90.00
_cell_angle_beta 90.00
_cell_angle_gamma 90.00
loop_
_atom_site_label
_atom_site_fract_x
_atom_site_fract_y
_atom_site_fract_z
Fe1 0.000 0.000 0.000
Fe2 0.250 0.250 0.250
Hg1 0.000 0.000 0.500
As1 0.250 0.250 0.750
```


Density functional theory data (meta-GGA SCAN) for Sc2NiAuSe at its PBEsol-relaxed geometry.

Uncorrected formation energy (eV per formula unit): 0.6
Crystal system: tetragonal
Total moment (μB per cell): 1.32
Density (Mg/m³): 6.274

Geometry as CIF:
```
data_Sc2NiAuSe
_chemical_formula_sum 'Sc2 Ni1 Au1 Se1'
_space_group_name_H-M_alt 'P 4/m m m'
_space_group_IT_number 123
_space_group_name_Hall '-P 4 2'
_cell_length_a 4.878
_cell_length_b 4.878
_cell_length_c 4.722
_cell_angle_alpha 90.00
_cell_angle_beta 90.00
_cell_angle_gamma 90.00
loop_
_atom_site_label
_atom_site_fract_x
_atom_site_fract_y
_atom_site_fract_z
Sc1 0.000 0.500 0.000
Ni1 0.000 0.000 0.500
Au1 0.500 0.500 0.500
Se1 0.500 0.500 0.000
```


Density functional theory data (meta-GGA SCAN) for CsKSr3 at its PBEsol-relaxed geometry.

Crystal system: cubic
Total moment (μB per cell): 0.38
Density (Mg/m³): 1.877

Geometry as CIF:
```
data_CsKSr3
_chemical_formula_sum 'Cs1 K1 Sr3'
_space_group_name_H-M_alt 'P m -3 m'
_space_group_IT_number 221
_space_group_name_Hall '-P 4 2 3'
_cell_length_a 7.273
_cell_length_b 7.273
_cell_length_c 7.273
_cell_angle_alpha 90.00
_cell_angle_beta 90.00
_cell_angle_gamma 90.00
loop_
_atom_site_label
_atom_site_fract_x
_atom_site_fract_y
_atom_site_fract_z
Cs1 0.000 0.000 0.000
K1 0.500 0.500 0.500
Sr1 0.000 0.500 0.500
```


Calculated DFT total energy in order - -33.526 -10.874 -9.121 -57.399 -10.549 -30.609 -26.662 -22.103 eV per atom